{
  "formula": "Al2CoCu",
  "functional": "meta-GGA SCAN",
  "state": "PBEsol geometry",
  "magnetic_moment_mub_per_atom": 0.156,
  "mass_density_g_cm3": 6.10,
  "formation_energy_mev_per_atom": -434,
  "energy_ev_per_atom": -12.435,
  "lattice_angstrom": [[-1.6325, 3.5254, 1.2463], [-0.2269, 0.8473, 3.9846], [2.3822, 2.8954, 1.6088]],
  "species": ["Al", "Cu", "Co", "Al"],
  "frac_coords": [[0.2500, 0.2500, 0.2500], [0.0000, 0.0000, 0.0000], [0.5000, 0.5000, 0.5000], [0.7500, 0.7500, 0.7500]]
}

=====

{
  "formula": "La2ZrAu",
  "functional": "meta-GGA SCAN",
  "state": "PBEsol geometry",
  "magnetic_moment_mub_per_atom": 0.001,
  "mass_density_g_cm3": 9.43,
  "formation_energy_mev_per_atom": -197,
  "relative_energy_ev_per_atom": 0.000,
  "energy_ev_per_atom": -46.714,
  "lattice_angstrom": [[4.5576, 0.0000, 0.0000], [0.0000, 4.5576, 0.0000], [-2.2788, -2.2788, 4.7981]],
  "species": ["La", "La", "Au", "Zr"],
  "frac_coords": [[0.7500, 0.2500, 0.5000], [0.2500, 0.7500, 0.5000], [0.0000, 0.0000, 0.0000], [0.5000, 0.5000, 0.0000]]
}

=====

{
  "formula": "Zr4TiPb5O15",
  "functional": "meta-GGA SCAN",
  "state": "PBEsol geometry",
  "magnetic_moment_mub_per_atom": 0.000,
  "mass_density_g_cm3": 7.92,
  "e_form_raw_ev_per_atom": -2.660,
  "energy_ev_per_atom": -27.107,
  "lattice_angstrom": [[4.1586, -0.0060, -0.0039], [0.0713, 4.1580, -0.0039], [0.2107, 0.2068, 20.4784]],
  "species": ["Zr", "O", "Pb", "O", "O", "Pb", "O", "Ti", "O", "Zr", "O", "Pb", "Zr", "O", "O", "Pb", "O", "O", "O", "Zr", "O", "O", "O", "O", "Pb"],
  "frac_coords": [[0.5292, 0.5292, 0.9076], [0.5768, 0.5768, 0.4008], [0.9770, 0.9770, 0.7966], [0.5708, 0.5708, 0.0122], [0.0463, 0.5744, 0.7115], [0.9769, 0.9769, 0.0006], [0.5730, 0.5730, 0.2165], [0.5065, 0.5065, 0.3059], [0.5744, 0.0463, 0.7115], [0.5301, 0.5301, 0.7038], [0.0480, 0.5752, 0.5081], [0.9788, 0.9788, 0.5929], [0.5320, 0.5320, 0.5001], [0.0451, 0.5710, 0.1190], [0.0663, 0.5638, 0.3104], [0.9819, 0.9819, 0.3901], [0.0453, 0.5732, 0.9154], [0.5732, 0.0453, 0.9154], [0.5710, 0.0451, 0.1190], [0.5295, 0.5295, 0.1110], [0.5752, 0.0480, 0.5081], [0.5731, 0.5731, 0.6046], [0.5721, 0.5721, 0.8084], [0.5638, 0.0663, 0.3104], [0.9786, 0.9786, 0.2046]]
}

=====

{
  "formula": "LaSbOs2",
  "functional": "meta-GGA SCAN",
  "state": "PBEsol geometry",
  "magnetic_moment_mub_per_atom": 0.000,
  "mass_density_g_cm3": 13.58,
  "e_form_raw_ev_per_atom": 0.295,
  "energy_ev_per_atom": -55.737,
  "lattice_angstrom": [[-0.2760, -0.2876, -3.0122], [2.7793, -1.2203, -0.1381], [-3.3434, -7.7328, 1.0447]],
  "species": ["Sb", "La", "Os", "Os"],
  "frac_coords": [[0.0000, 0.0000, 0.4534], [0.5000, 0.5000, 0.7739], [0.0000, 0.0000, 0.0481], [0.5000, 0.5000, 0.2245]]
}

=====

{
  "formula": "BeCo2Mo",
  "functional": "meta-GGA SCAN",
  "state": "PBEsol geometry",
  "magnetic_moment_mub_per_atom": 0.000,
  "mass_density_g_cm3": 8.36,
  "formation_energy_mev_per_atom": 191,
  "energy_ev_per_atom": -18.271,
  "lattice_angstrom": [[2.6139, 0.0000, 0.0000], [0.0000, 4.1565, 0.0129], [0.0000, -0.8463, 4.0695]],
  "species": ["Be", "Co", "Mo", "Co"],
  "frac_coords": [[0.5000, 0.5000, 0.5000], [0.0000, 0.0000, 0.5000], [0.5000, 0.0000, 0.0000], [0.0000, 0.5000, 0.0000]]
}

=====

{
  "formula": "ZrFeRh",
  "functional": "meta-GGA SCAN",
  "state": "PBEsol geometry",
  "magnetic_moment_mub_per_atom": 1.031,
  "mass_density_g_cm3": 9.03,
  "formation_energy_mev_per_atom": -385,
  "energy_ev_per_atom": -27.918,
  "lattice_angstrom": [[3.2054, 0.0000, 0.0000], [0.0000, 3.2054, 0.0000], [-1.6027, -1.6027, 4.4738]],
  "species": ["Fe", "Rh", "Zr"],
  "frac_coords": [[0.0056, 0.0056, 0.0112], [0.6609, 0.6609, 0.3217], [0.3335, 0.3335, 0.6671]]
}